## Nd2HfSc (PBE-GGA)

Data for Nd2HfSc after structural relaxation.

## Properties
energy of formation	36.0	kJ per mole of atoms
density of states at the Fermi level	1.31	states/eV/atom
calculated total energy	-6.082	eV per atom

a = 3.3142 Å, b = 3.3142 Å, c = 12.1397 Å
α = 82.15°, β = 82.15°, γ = 60.00°
Closest atoms and distances in Å follow each position.
Positions (direct):
1 Sc 0.5000 0.5000 0.5000  6 Sc 3.31, 6 Nd 3.43
2 Nd 0.0874 0.0874 0.7379  1 Hf 3.14, 6 Nd 3.31, 3 Sc 3.43
3 Nd 0.9126 0.9126 0.2621  1 Hf 3.14, 6 Nd 3.31, 3 Sc 3.43
4 Hf 0.0000 0.0000 0.0000  2 Nd 3.14, 6 Hf 3.31

=====

## NdHf2Sc (PBE-GGA)

Data for NdHf2Sc after structural relaxation.

## Properties
energy of formation	28.3	kJ per mole of atoms
density of states at the Fermi level	1.45	states/eV/atom
calculated total energy	-7.458	eV per atom

a = 3.2022 Å, b = 3.2022 Å, c = 11.5645 Å
α = 82.04°, β = 82.04°, γ = 60.00°
Closest atoms and distances in Å follow each position.
Positions (direct):
1 Hf 0.0926 0.0926 0.7222  3 Sc 3.14, 1 Nd 3.17, 6 Hf 3.20
2 Nd 0.0000 0.0000 0.0000  2 Hf 3.17, 6 Nd 3.20
3 Sc 0.5000 0.5000 0.5000  6 Hf 3.14, 6 Sc 3.20
4 Hf 0.9074 0.9074 0.2778  3 Sc 3.14, 1 Nd 3.17, 6 Hf 3.20

=====

## NdHfSc2 (PBE-GGA)

Data for NdHfSc2 after structural relaxation.

## Properties
energy of formation	8.9	kJ per mole of atoms
density of states at the Fermi level	1.48	states/eV/atom
calculated total energy	-6.754	eV per atom

a = 3.3225 Å, b = 3.3225 Å, c = 10.9903 Å
α = 81.31°, β = 81.31°, γ = 60.00°
Closest atoms and distances in Å follow each position.
Positions (direct):
1 Nd 0.5000 0.5000 0.5000  6 Nd 3.32, 6 Sc 3.49
2 Hf 0.0000 0.0000 0.0000  6 Sc 3.15, 6 Hf 3.32
3 Sc 0.2564 0.2564 0.2308  3 Hf 3.15, 6 Sc 3.32, 3 Nd 3.49
4 Sc 0.7436 0.7436 0.7692  3 Hf 3.15, 6 Sc 3.32, 3 Nd 3.49